# PrLuOsRh | Alexandria via LeMat-Bulk | GGA-PBE | relaxed
# total magnetization = 0.000 μB per atom
# E_tot = -7.305 eV/atom
data_PrLuOsRh
_chemical_formula_sum 'Pr4 Lu4 Os4 Rh4'
_symmetry_space_group_name_H-M 'F -4 3 m'
_symmetry_Int_Tables_number 216
_symmetry_space_group_name_Hall 'F -4 2 3'
_cell_length_a 6.910
_cell_length_b 6.910
_cell_length_c 6.910
_cell_angle_alpha 90.00
_cell_angle_beta 90.00
_cell_angle_gamma 90.00
loop_
_atom_site_label
_atom_site_fract_x
_atom_site_fract_y
_atom_site_fract_z
_atom_site_occupancy
Pr1 0.000 0.000 0.000 1
Lu1 0.000 0.000 0.500 1
Os1 0.250 0.250 0.250 1
Rh1 0.250 0.250 0.750 1



# PrLuZnOs | Alexandria via LeMat-Bulk | GGA-PBE | relaxed
# total magnetization = 0.000 μB per atom
# E_tot = -5.626 eV/atom
data_PrLuZnOs
_chemical_formula_sum 'Pr4 Lu4 Zn4 Os4'
_symmetry_space_group_name_H-M 'F -4 3 m'
_symmetry_Int_Tables_number 216
_symmetry_space_group_name_Hall 'F -4 2 3'
_cell_length_a 7.025
_cell_length_b 7.025
_cell_length_c 7.025
_cell_angle_alpha 90.00
_cell_angle_beta 90.00
_cell_angle_gamma 90.00
loop_
_atom_site_label
_atom_site_fract_x
_atom_site_fract_y
_atom_site_fract_z
_atom_site_occupancy
Pr1 0.000 0.000 0.000 1
Lu1 0.000 0.000 0.500 1
Zn1 0.250 0.250 0.750 1
Os1 0.250 0.250 0.250 1



# LuPuOsPt | Alexandria via LeMat-Bulk | GGA-PBE | relaxed
# total magnetization = 1.161 μB per atom
# E_tot = -9.537 eV/atom
data_LuPuOsPt
_chemical_formula_sum 'Lu4 Pu4 Os4 Pt4'
_symmetry_space_group_name_H-M 'F -4 3 m'
_symmetry_Int_Tables_number 216
_symmetry_space_group_name_Hall 'F -4 2 3'
_cell_length_a 6.824
_cell_length_b 6.824
_cell_length_c 6.824
_cell_angle_alpha 90.00
_cell_angle_beta 90.00
_cell_angle_gamma 90.00
loop_
_atom_site_label
_atom_site_fract_x
_atom_site_fract_y
_atom_site_fract_z
_atom_site_occupancy
Lu1 0.000 0.000 0.000 1
Pu1 0.000 0.000 0.500 1
Os1 0.250 0.250 0.250 1
Pt1 0.250 0.250 0.750 1



# LuThOsPt | Alexandria via LeMat-Bulk | GGA-PBE | relaxed
# total magnetization = 0.000 μB per atom
# E_tot = -7.981 eV/atom
data_LuThOsPt
_chemical_formula_sum 'Lu4 Th4 Os4 Pt4'
_symmetry_space_group_name_H-M 'F -4 3 m'
_symmetry_Int_Tables_number 216
_symmetry_space_group_name_Hall 'F -4 2 3'
_cell_length_a 7.004
_cell_length_b 7.004
_cell_length_c 7.004
_cell_angle_alpha 90.00
_cell_angle_beta 90.00
_cell_angle_gamma 90.00
loop_
_atom_site_label
_atom_site_fract_x
_atom_site_fract_y
_atom_site_fract_z
_atom_site_occupancy
Lu1 0.000 0.000 0.000 1
Th1 0.000 0.000 0.500 1
Os1 0.250 0.250 0.250 1
Pt1 0.250 0.250 0.750 1



# YLuOsPt | Alexandria via LeMat-Bulk | GGA-PBE | relaxed
# total magnetization = 0.000 μB per atom
# E_tot = -7.762 eV/atom
data_YLuOsPt
_chemical_formula_sum 'Y4 Lu4 Os4 Pt4'
_symmetry_space_group_name_H-M 'F -4 3 m'
_symmetry_Int_Tables_number 216
_symmetry_space_group_name_Hall 'F -4 2 3'
_cell_length_a 6.825
_cell_length_b 6.825
_cell_length_c 6.825
_cell_angle_alpha 90.00
_cell_angle_beta 90.00
_cell_angle_gamma 90.00
loop_
_atom_site_label
_atom_site_fract_x
_atom_site_fract_y
_atom_site_fract_z
_atom_site_occupancy
Y1 0.000 0.000 0.000 1
Lu1 0.000 0.000 0.500 1
Os1 0.250 0.250 0.750 1
Pt1 0.250 0.250 0.250 1



# LuPuOs2 | Alexandria via LeMat-Bulk | GGA-PBE | relaxed
# total magnetization = 0.965 μB per atom
# ΔE to the lowest computed polymorph = 0.0146 eV per atom
# E_tot = -10.446 eV/atom
data_LuPuOs2
_chemical_formula_sum 'Lu1 Pu1 Os2'
_symmetry_space_group_name_H-M 'P 4/m m m'
_symmetry_Int_Tables_number 123
_symmetry_space_group_name_Hall '-P 4 2'
_cell_length_a 4.754
_cell_length_b 4.754
_cell_length_c 3.350
_cell_angle_alpha 90.00
_cell_angle_beta 90.00
_cell_angle_gamma 90.00
loop_
_atom_site_label
_atom_site_fract_x
_atom_site_fract_y
_atom_site_fract_z
_atom_site_occupancy
Lu1 0.000 0.000 0.000 1
Pu1 0.500 0.500 0.000 1
Os1 0.000 0.500 0.500 1



# LuPu2Os | Alexandria via LeMat-Bulk | GGA-PBE | relaxed
# total magnetization = 2.754 μB per atom
# ΔE to the lowest computed polymorph = 0.0000 eV per atom
# E_tot = -11.032 eV/atom
data_LuPu2Os
_chemical_formula_sum 'Lu1 Pu2 Os1'
_symmetry_space_group_name_H-M 'P 4/m m m'
_symmetry_Int_Tables_number 123
_symmetry_space_group_name_Hall '-P 4 2'
_cell_length_a 3.285
_cell_length_b 3.285
_cell_length_c 8.850
_cell_angle_alpha 90.00
_cell_angle_beta 90.00
_cell_angle_gamma 90.00
loop_
_atom_site_label
_atom_site_fract_x
_atom_site_fract_y
_atom_site_fract_z
_atom_site_occupancy
Lu1 0.000 0.000 0.000 1
Pu1 0.500 0.500 0.299 1
Os1 0.000 0.000 0.500 1



# LuPu2Os | Alexandria via LeMat-Bulk | GGA-PBE | relaxed
# total magnetization = 2.632 μB per atom
# ΔE to the lowest computed polymorph = 0.3250 eV per atom
# E_tot = -10.707 eV/atom
data_LuPu2Os
_chemical_formula_sum 'Lu3 Pu6 Os3'
_symmetry_space_group_name_H-M 'R -3 m'
_symmetry_Int_Tables_number 166
_symmetry_space_group_name_Hall '-R 3 2"'
_cell_length_a 3.2529
_cell_length_b 3.2529
_cell_length_c 31.8006
_cell_angle_alpha 90.00
_cell_angle_beta 90.00
_cell_angle_gamma 120.00
loop_
_atom_site_label
_atom_site_fract_x
_atom_site_fract_y
_atom_site_fract_z
_atom_site_occupancy
Lu1 0.0000 0.0000 0.0000 1
Pu1 0.0000 0.0000 0.0993 1
Os1 0.0000 0.0000 0.5000 1



no.,formation energy (eV/atom),calculated density (g/cm³)
1,-0.335,12.26
2,-0.175,10.95
3,-0.506,16.81
4,-0.678,15.32
5,-0.698,13.56
6,-0.118,17.54
7,0.072,14.84
8,0.397,14.59